[1]
Entry from Alexandria via LeMat-Bulk: crystalline NaSbN2 at its relaxed geometry (PBE).

a = 6.938 Å, b = 6.938 Å, c = 6.938 Å
α = 27.05°, β = 27.05°, γ = 27.05°
Sites, in units of the cell vectors:
Na (0.000, 0.000, 0.000)
Sb (0.500, 0.500, 0.500)
N (0.112, 0.112, 0.112)
N (0.888, 0.888, 0.888)

[2]
Entry from Alexandria via LeMat-Bulk: crystalline NaSb2N at its relaxed geometry (PBE).

a = 6.267 Å, b = 6.267 Å, c = 6.267 Å
α = 110.66°, β = 110.66°, γ = 107.12°
Sites, in units of the cell vectors:
Na (0.000, 0.000, 0.000)
Na (0.750, 0.250, 0.500)
Sb (0.234, 0.625, 0.109)
Sb (0.375, 0.484, 0.609)
Sb (0.516, 0.125, 0.891)
Sb (0.875, 0.766, 0.391)
N (0.250, 0.750, 0.500)
N (0.500, 0.500, 0.000)

[3]
Entry from Alexandria via LeMat-Bulk: crystalline NaSbN2 at its relaxed geometry (PBE).

a = 6.109 Å, b = 6.109 Å, c = 6.109 Å
α = 30.41°, β = 30.41°, γ = 30.41°
Sites, in units of the cell vectors:
Na (0.000, 0.000, 0.000)
Sb (0.500, 0.500, 0.500)
N (0.232, 0.232, 0.232)
N (0.768, 0.768, 0.768)

[4]
Entry from Alexandria via LeMat-Bulk: crystalline NaSbN2 at its relaxed geometry (PBE).

a = 6.626 Å, b = 6.626 Å, c = 6.626 Å
α = 34.96°, β = 34.96°, γ = 34.96°
Sites, in units of the cell vectors:
Na (0.000, 0.000, 0.000)
Sb (0.500, 0.500, 0.500)
N (0.399, 0.399, 0.399)
N (0.601, 0.601, 0.601)

[5]
Entry from Alexandria via LeMat-Bulk: crystalline NaSbSeN2 at its relaxed geometry (PBE).

Results
ΔE to the lowest computed polymorph   926.8 meV/atom

a = 4.387 Å, b = 4.387 Å, c = 5.362 Å
α = 90.00°, β = 90.00°, γ = 90.00°
Sites, in units of the cell vectors:
Na (0.000, 0.000, 0.000)
Sb (0.500, 0.500, 0.500)
Se (0.000, 0.000, 0.500)
N (0.000, 0.500, 0.000)
N (0.500, 0.000, 0.000)

[6]
Entry from Alexandria via LeMat-Bulk: crystalline NaSbSeN2 at its relaxed geometry (PBE).

Results
ΔE to the lowest computed polymorph   0.0 meV/atom

a = 4.182 Å, b = 4.182 Å, c = 5.493 Å
α = 90.00°, β = 90.00°, γ = 90.00°
Sites, in units of the cell vectors:
Na (0.000, 0.000, 0.000)
Sb (0.500, 0.500, 0.500)
Se (0.500, 0.500, 0.000)
N (0.000, 0.500, 0.500)
N (0.500, 0.000, 0.500)

[7]
Entry from Alexandria via LeMat-Bulk: crystalline NaSb2TeN at its relaxed geometry (PBE).

Results
ΔE to the lowest computed polymorph   0.0 meV/atom

a = 4.894 Å, b = 4.894 Å, c = 4.788 Å
α = 90.00°, β = 90.00°, γ = 90.00°
Sites, in units of the cell vectors:
Na (0.000, 0.000, 0.000)
Sb (0.000, 0.500, 0.500)
Sb (0.500, 0.000, 0.500)
Te (0.500, 0.500, 0.000)
N (0.500, 0.500, 0.500)

[8]
Entry from Alexandria via LeMat-Bulk: crystalline NaSbTe2N at its relaxed geometry (PBE).

Results
ΔE to the lowest computed polymorph   1185.0 meV/atom

a = 5.547 Å, b = 5.547 Å, c = 5.483 Å
α = 90.00°, β = 90.00°, γ = 90.00°
Sites, in units of the cell vectors:
Na (0.000, 0.000, 0.000)
Sb (0.000, 0.000, 0.500)
Te (0.000, 0.500, 0.000)
Te (0.500, 0.000, 0.000)
N (0.500, 0.500, 0.500)

[9]
Entry from Alexandria via LeMat-Bulk: crystalline NaSbTe2N at its relaxed geometry (PBE).

Results
ΔE to the lowest computed polymorph   36.3 meV/atom

a = 6.060 Å, b = 6.060 Å, c = 3.908 Å
α = 90.00°, β = 90.00°, γ = 90.00°
Sites, in units of the cell vectors:
Na (0.000, 0.000, 0.000)
Sb (0.500, 0.500, 0.500)
Te (0.000, 0.500, 0.500)
Te (0.500, 0.000, 0.500)
N (0.500, 0.500, 0.000)

[10]
Entry from Alexandria via LeMat-Bulk: crystalline NaSbTe2N at its relaxed geometry (PBE).

Results
ΔE to the lowest computed polymorph   688.5 meV/atom

a = 5.653 Å, b = 5.653 Å, c = 4.284 Å
α = 90.00°, β = 90.00°, γ = 90.00°
Sites, in units of the cell vectors:
Na (0.000, 0.000, 0.000)
Sb (0.500, 0.500, 0.500)
Te (0.000, 0.500, 0.000)
Te (0.500, 0.000, 0.000)
N (0.000, 0.000, 0.500)

[11]
Entry from Alexandria via LeMat-Bulk: crystalline NaSb2TeN at its relaxed geometry (PBE).

Results
ΔE to the lowest computed polymorph   1239.3 meV/atom

a = 5.457 Å, b = 5.457 Å, c = 5.505 Å
α = 90.00°, β = 90.00°, γ = 90.00°
Sites, in units of the cell vectors:
Na (0.000, 0.000, 0.000)
Sb (0.000, 0.500, 0.000)
Sb (0.500, 0.000, 0.000)
Te (0.000, 0.000, 0.500)
N (0.500, 0.500, 0.500)

[12]
Entry from Alexandria via LeMat-Bulk: crystalline NaSbTe2N at its relaxed geometry (PBE).

Results
ΔE to the lowest computed polymorph   0.0 meV/atom

a = 5.076 Å, b = 5.076 Å, c = 4.595 Å
α = 90.00°, β = 90.00°, γ = 90.00°
Sites, in units of the cell vectors:
Na (0.000, 0.000, 0.000)
Sb (0.500, 0.500, 0.000)
Te (0.000, 0.500, 0.500)
Te (0.500, 0.000, 0.500)
N (0.500, 0.500, 0.500)

[13]
Entry from Alexandria via LeMat-Bulk: crystalline Na2Ti2Sb2N at its relaxed geometry (PBE).

a = 8.779 Å, b = 8.779 Å, c = 8.779 Å
α = 152.51°, β = 152.51°, γ = 39.27°
Sites, in units of the cell vectors:
Na (0.178, 0.178, 0.000)
Na (0.822, 0.822, 0.000)
Ti (0.000, 0.500, 0.500)
Ti (0.500, 0.000, 0.500)
Sb (0.378, 0.378, 0.000)
Sb (0.622, 0.622, 0.000)
N (0.000, 0.000, 0.000)

[14]
Entry from Alexandria via LeMat-Bulk: crystalline NaTlSbN2 at its relaxed geometry (PBE).

a = 4.479 Å, b = 4.479 Å, c = 5.112 Å
α = 90.00°, β = 90.00°, γ = 90.00°
Sites, in units of the cell vectors:
Na (0.000, 0.000, 0.000)
Tl (0.000, 0.000, 0.500)
Sb (0.500, 0.500, 0.500)
N (0.000, 0.500, 0.000)
N (0.500, 0.000, 0.000)

[15]
Entry from Alexandria via LeMat-Bulk: crystalline NaSbW2N at its relaxed geometry (PBE).

Results
ΔE to the lowest computed polymorph   2188.8 meV/atom

a = 5.237 Å, b = 5.237 Å, c = 4.339 Å
α = 90.00°, β = 90.00°, γ = 90.00°
Sites, in units of the cell vectors:
Na (0.000, 0.000, 0.000)
Sb (0.500, 0.500, 0.500)
W (0.000, 0.500, 0.500)
W (0.500, 0.000, 0.500)
N (0.500, 0.500, 0.000)

[16]
Entry from Alexandria via LeMat-Bulk: crystalline NaSbW2N at its relaxed geometry (PBE).

Results
ΔE to the lowest computed polymorph   0.0 meV/atom

a = 4.124 Å, b = 4.124 Å, c = 4.701 Å
α = 90.00°, β = 90.00°, γ = 90.00°
Sites, in units of the cell vectors:
Na (0.000, 0.000, 0.000)
Sb (0.500, 0.500, 0.000)
W (0.000, 0.500, 0.500)
W (0.500, 0.000, 0.500)
N (0.000, 0.000, 0.500)

[17]
Entry from Alexandria via LeMat-Bulk: crystalline NaY2SbN at its relaxed geometry (PBE).

a = 4.759 Å, b = 4.759 Å, c = 4.742 Å
α = 90.00°, β = 90.00°, γ = 90.00°
Sites, in units of the cell vectors:
Na (0.000, 0.000, 0.000)
Y (0.000, 0.500, 0.500)
Y (0.500, 0.000, 0.500)
Sb (0.500, 0.500, 0.000)
N (0.000, 0.000, 0.500)

[18]
Entry from Alexandria via LeMat-Bulk: crystalline Na2ZrSbN at its relaxed geometry (PBE).

a = 5.361 Å, b = 5.361 Å, c = 5.501 Å
α = 90.00°, β = 90.00°, γ = 90.00°
Sites, in units of the cell vectors:
Na (0.000, 0.500, 0.000)
Na (0.500, 0.000, 0.000)
Zr (0.000, 0.000, 0.500)
Sb (0.000, 0.000, 0.000)
N (0.500, 0.500, 0.500)

[19]
Entry from Alexandria via LeMat-Bulk: crystalline Na3ScN at its relaxed geometry (PBE).

Results
ΔE to the lowest computed polymorph   0.0 meV/atom

a = 4.865 Å, b = 4.865 Å, c = 4.865 Å
α = 90.00°, β = 90.00°, γ = 90.00°
Sites, in units of the cell vectors:
Na (0.000, 0.000, 0.500)
Na (0.000, 0.500, 0.000)
Na (0.500, 0.000, 0.000)
Sc (0.500, 0.500, 0.500)
N (0.000, 0.000, 0.000)

[20]
Entry from Alexandria via LeMat-Bulk: crystalline Na4Sc2N at its relaxed geometry (PBE).

a = 10.865 Å, b = 10.865 Å, c = 10.865 Å
α = 156.78°, β = 156.78°, γ = 33.07°
Sites, in units of the cell vectors:
Na (0.000, 0.500, 0.500)
Na (0.115, 0.115, 0.000)
Na (0.500, 0.000, 0.500)
Na (0.885, 0.885, 0.000)
Sc (0.280, 0.280, 0.000)
Sc (0.720, 0.720, 0.000)
N (0.000, 0.000, 0.000)

Computed calculated total energy, in the same sequence as the records: -5.191; -4.086; -5.400; -4.500; -3.375; -4.302; -3.793; -2.438; -3.587; -2.935; -2.554; -3.623; -5.734; -2.946; -5.405; -7.593; -6.287; -3.405; -3.016; -3.265 eV per atom.